Entry 1:
VASP calculation (meta-GGA SCAN) on a crystal of USnAu relaxed with PBEsol.

Unit cell a=5.013 b=5.013 c=5.735 alpha=90.00 beta=90.00 gamma=120.00
Positions (direct):
1 U 0.000 0.000 0.000
2 U 0.000 0.000 0.500
3 Sn 0.333 0.667 0.250
4 Sn 0.667 0.333 0.750
5 Au 0.333 0.667 0.750
6 Au 0.667 0.333 0.250

- E_form (meV/atom) = -226.9
- total energy (eV per atom) = -69.76

---

Entry 2:
VASP calculation (meta-GGA SCAN) on a crystal of Ag4AsRh relaxed with PBEsol.

Unit cell a=5.268 b=5.268 c=5.268 alpha=60.00 beta=60.00 gamma=60.00
Positions (direct):
1 Ag 0.125 0.125 0.125
2 Ag 0.125 0.125 0.624
3 Ag 0.125 0.624 0.125
4 Ag 0.624 0.125 0.125
5 As 0.750 0.750 0.750
6 Rh 0.500 0.500 0.500

- E_form (meV/atom) = 476.3
- total energy (eV per atom) = -29.43

---

Entry 3:
VASP calculation (meta-GGA SCAN) on a crystal of Al2ZnBr relaxed with PBEsol.

Unit cell a=3.153 b=5.514 c=4.587 alpha=90.00 beta=90.01 gamma=90.00
Positions (direct):
1 Al 0.000 0.000 0.000
2 Al 0.005 0.500 0.987
3 Zn 0.500 0.000 0.499
4 Br 0.502 0.500 0.497

- formation energy without anion corrections (meV per atom) = 129
- total energy (eV per atom) = -11.99